DFT (GGA-PBE) results for P2PbCl after structural relaxation.

Output
Space group: R3m (160)
N(E_F): 0.536 states/eV/f.u.
Relative energy among the computed polymorphs: 0.046 eV per atom
Formation energy from raw total energies: -0.19 eV/atom
V: 98.2 Å³ per cell

a b c (Å): 9.940 9.940 9.940
angles (deg): 19.76 19.76 19.76
Element x y z (fractional)
1 Cl 0.754 0.754 0.754
2 Pb 0.492 0.492 0.492
3 P 0.273 0.273 0.273
4 P 0.981 0.981 0.981